VASP calculation (PBE) on Pa4SN3 after structural relaxation.

Values from the calculation:
The calculation puts the formation energy without anion corrections at -1482 meV/atom. The value obtained for the calculated total energy is -78.94 eV per cell.

Unit cell a=3.452 b=3.452 c=12.853 alpha=90.00 beta=90.00 gamma=120.00
Element x y z (fractional)
Pa: 0.667 0.333 0.616
N: 0.000 0.000 0.264
N: 0.000 0.000 0.736
Pa: 0.667 0.333 0.151
Pa: 0.333 0.667 0.384
N: 0.000 0.000 0.500
Pa: 0.333 0.667 0.849
S: 0.000 0.000 0.000


VASP calculation (PBE) on PaSN after structural relaxation.

Values from the calculation:
The calculation puts the formation energy without anion corrections at -1797 meV/atom. The calculation puts the relative energy among the computed polymorphs at 58 meV/atom. The value obtained for the calculated total energy is -54.68 eV per cell.

Unit cell a=3.886 b=3.886 c=10.156 alpha=78.97 beta=78.97 gamma=60.00
Element x y z (fractional)
Pa: 0.284 0.284 0.149
N: 0.639 0.639 0.082
S: 0.898 0.898 0.307
N: 0.361 0.361 0.918
S: 0.102 0.102 0.693
Pa: 0.716 0.716 0.851


VASP calculation (PBE) on Pa3S2N after structural relaxation.

Values from the calculation:
The calculation puts the formation energy without anion corrections at -1349 meV/atom. The value obtained for the calculated total energy is -106.32 eV per cell.

Unit cell a=3.573 b=3.573 c=20.565 alpha=90.00 beta=90.00 gamma=120.00
Element x y z (fractional)
Pa: 0.333 0.667 0.325
S: 0.333 0.667 0.588
S: 0.333 0.667 0.912
N: 0.000 0.000 0.250
S: 0.667 0.333 0.088
S: 0.667 0.333 0.412
Pa: 0.333 0.667 0.175
Pa: 0.000 0.000 0.000
Pa: 0.000 0.000 0.500
N: 0.000 0.000 0.750
Pa: 0.667 0.333 0.825
Pa: 0.667 0.333 0.675


VASP calculation (PBE) on PaSN after structural relaxation.

Values from the calculation:
The calculation puts the formation energy without anion corrections at -1856 meV/atom. The calculation puts the relative energy among the computed polymorphs at 0 meV/atom. The value obtained for the calculated total energy is -55.03 eV per cell.

Unit cell a=3.840 b=3.840 c=6.689 alpha=90.00 beta=90.01 gamma=90.00
Element x y z (fractional)
N: 0.250 0.750 0.500
Pa: 0.750 0.750 0.314
S: 0.250 0.250 0.131
S: 0.750 0.750 0.869
N: 0.750 0.250 0.500
Pa: 0.250 0.250 0.686


VASP calculation (PBE) on PaSN after structural relaxation.

Values from the calculation:
The calculation puts the formation energy without anion corrections at -996 meV/atom. The calculation puts the relative energy among the computed polymorphs at 859 meV/atom. The value obtained for the calculated total energy is -24.94 eV per cell.

Unit cell a=3.290 b=3.290 c=5.241 alpha=108.29 beta=108.29 gamma=90.00
Element x y z (fractional)
N: 0.277 0.277 0.554
S: 0.017 0.017 0.033
Pa: 0.707 0.707 0.413


VASP calculation (PBE) on PaSN after structural relaxation.

Values from the calculation:
The calculation puts the formation energy without anion corrections at -1623 meV/atom. The calculation puts the relative energy among the computed polymorphs at 232 meV/atom. The value obtained for the calculated total energy is -26.82 eV per cell.

Unit cell a=4.121 b=3.804 c=3.804 alpha=120.00 beta=90.00 gamma=90.00
Element x y z (fractional)
N: 0.167 0.000 0.000
Pa: 0.167 0.667 0.333
S: 0.667 0.333 0.667


VASP calculation (PBE) on Pa4S4N after structural relaxation.

Values from the calculation:
The calculation puts the formation energy without anion corrections at -1201 meV/atom. The value obtained for the calculated total energy is -73.62 eV per cell.

Unit cell a=6.508 b=6.508 c=6.911 alpha=118.09 beta=118.09 gamma=90.00
Element x y z (fractional)
Pa: 0.665 0.665 0.733
S: 0.000 0.500 0.000
N: 0.000 0.000 0.000
S: 0.328 0.328 0.656
S: 0.500 0.000 0.000
Pa: 0.067 0.067 0.733
Pa: 0.933 0.335 0.267
Pa: 0.335 0.933 0.267
S: 0.672 0.672 0.344


VASP calculation (PBE) on ScPaS2N after structural relaxation.

Values from the calculation:
The calculation puts the formation energy without anion corrections at -1890 meV/atom. The value obtained for the calculated total energy is -83.71 eV per cell.

Unit cell a=3.740 b=3.740 c=12.945 alpha=90.00 beta=90.00 gamma=90.00
Element x y z (fractional)
Pa: 0.000 0.500 0.401
S: 0.000 0.500 0.104
S: 0.500 0.000 0.300
S: 0.000 0.500 0.700
Pa: 0.500 0.000 0.599
Sc: 0.500 0.000 0.098
N: 0.500 0.500 0.500
N: 0.000 0.000 0.500
S: 0.500 0.000 0.896
Sc: 0.000 0.500 0.902


VASP calculation (PBE) on Pa2SeS2N2 after structural relaxation.

Values from the calculation:
The calculation puts the formation energy without anion corrections at -1327 meV/atom. The value obtained for the calculated total energy is -56.67 eV per cell.

Unit cell a=3.892 b=3.892 c=11.078 alpha=90.00 beta=90.00 gamma=120.00
Element x y z (fractional)
N: 0.333 0.667 0.426
Se: 0.000 0.000 0.000
S: 0.000 0.000 0.221
Pa: 0.667 0.333 0.368
Pa: 0.333 0.667 0.632
N: 0.667 0.333 0.574
S: 0.000 0.000 0.779


VASP calculation (PBE) on Pa2Se2SN2 after structural relaxation.

Values from the calculation:
The calculation puts the formation energy without anion corrections at -1175 meV/atom. The value obtained for the calculated total energy is -54.97 eV per cell.

Unit cell a=3.912 b=3.912 c=11.400 alpha=90.00 beta=90.00 gamma=120.00
Element x y z (fractional)
S: 0.000 0.000 0.000
Se: 0.000 0.000 0.788
Se: 0.000 0.000 0.212
Pa: 0.333 0.667 0.627
N: 0.667 0.333 0.573
Pa: 0.667 0.333 0.373
N: 0.333 0.667 0.427


VASP calculation (PBE) on Pa2Se2SN after structural relaxation.

Values from the calculation:
The calculation puts the formation energy without anion corrections at -1534 meV/atom. The value obtained for the calculated total energy is -95.23 eV per cell.

Unit cell a=3.822 b=7.691 c=8.141 alpha=90.00 beta=90.00 gamma=90.00
Element x y z (fractional)
S: 0.000 0.472 0.562
N: 0.500 0.697 0.301
Pa: 0.500 0.736 0.567
Pa: 0.500 0.236 0.433
Pa: 0.000 0.241 0.839
N: 0.500 0.197 0.699
Se: 0.000 0.861 0.811
Pa: 0.000 0.741 0.161
Se: 0.000 0.361 0.189
S: 0.000 0.972 0.438
Se: 0.500 0.039 0.089
Se: 0.500 0.539 0.911


VASP calculation (PBE) on Pa2SeSN after structural relaxation.

Values from the calculation:
The calculation puts the formation energy without anion corrections at -1597 meV/atom. The value obtained for the calculated total energy is -85.83 eV per cell.

Unit cell a=3.818 b=7.383 c=7.671 alpha=91.89 beta=75.59 gamma=75.01
Element x y z (fractional)
Pa: 0.173 0.703 0.952
Pa: 0.827 0.297 0.048
N: 0.640 0.621 0.099
Pa: 0.445 0.709 0.402
S: 0.143 0.385 0.329
Pa: 0.555 0.291 0.598
N: 0.360 0.379 0.901
Se: 0.872 0.979 0.276
Se: 0.128 0.021 0.724
S: 0.857 0.615 0.671


VASP calculation (PBE) on SmPaS2N after structural relaxation.

Values from the calculation:
The calculation puts the formation energy without anion corrections at -1922 meV/atom. The value obtained for the calculated total energy is -80.81 eV per cell.

Unit cell a=3.876 b=3.876 c=13.577 alpha=90.00 beta=90.00 gamma=90.00
Element x y z (fractional)
S: 0.500 0.000 0.314
N: 0.000 0.000 0.500
S: 0.000 0.500 0.109
Pa: 0.000 0.500 0.410
Sm: 0.000 0.500 0.895
Pa: 0.500 0.000 0.590
S: 0.000 0.500 0.686
N: 0.500 0.500 0.500
Sm: 0.500 0.000 0.105
S: 0.500 0.000 0.891


VASP calculation (PBE) on SmPaSN2 after structural relaxation.

Values from the calculation:
The calculation puts the formation energy without anion corrections at -1741 meV/atom. The value obtained for the calculated total energy is -43.70 eV per cell.

Unit cell a=3.877 b=3.877 c=6.664 alpha=106.91 beta=106.91 gamma=90.00
Element x y z (fractional)
N: 0.742 0.242 0.485
S: 0.504 0.504 0.007
N: 0.242 0.742 0.485
Sm: 0.851 0.851 0.702
Pa: 0.161 0.161 0.321


VASP calculation (PBE) on PaSnSN2 after structural relaxation.

Values from the calculation:
The calculation puts the formation energy without anion corrections at -868 meV/atom. The value obtained for the calculated total energy is -77.23 eV per cell.

Unit cell a=3.958 b=6.135 c=8.050 alpha=98.84 beta=90.00 gamma=90.00
Element x y z (fractional)
N: 0.750 0.522 0.395
Pa: 0.250 0.687 0.396
N: 0.250 0.478 0.605
Sn: 0.750 0.334 0.100
Sn: 0.250 0.666 0.900
N: 0.250 0.496 0.127
Pa: 0.750 0.313 0.604
S: 0.750 0.990 0.308
S: 0.250 0.010 0.692
N: 0.750 0.504 0.873


VASP calculation (PBE) on TbPaS2N after structural relaxation.

Values from the calculation:
The calculation puts the formation energy without anion corrections at -1943 meV/atom. The value obtained for the calculated total energy is -80.85 eV per cell.

Unit cell a=3.837 b=3.837 c=13.433 alpha=90.00 beta=90.00 gamma=90.00
Element x y z (fractional)
Pa: 0.500 0.000 0.592
Tb: 0.500 0.000 0.104
Pa: 0.000 0.500 0.408
N: 0.500 0.500 0.500
N: 0.000 0.000 0.500
S: 0.500 0.000 0.892
S: 0.000 0.500 0.108
S: 0.500 0.000 0.310
Tb: 0.000 0.500 0.896
S: 0.000 0.500 0.690


VASP calculation (PBE) on TbPaSN2 after structural relaxation.

Values from the calculation:
The calculation puts the formation energy without anion corrections at -1769 meV/atom. The value obtained for the calculated total energy is -43.75 eV per cell.

Unit cell a=3.854 b=3.854 c=6.597 alpha=106.98 beta=106.98 gamma=90.00
Element x y z (fractional)
N: 0.744 0.244 0.488
Tb: 0.848 0.848 0.696
S: 0.504 0.504 0.007
Pa: 0.160 0.160 0.320
N: 0.244 0.744 0.488


VASP calculation (PBE) on PaTeS2N after structural relaxation.

Values from the calculation:
The calculation puts the formation energy without anion corrections at -965 meV/atom. The value obtained for the calculated total energy is -68.09 eV per cell.

Unit cell a=3.722 b=3.722 c=19.636 alpha=90.00 beta=90.00 gamma=90.00
Element x y z (fractional)
N: 0.000 0.000 0.500
N: 0.500 0.500 0.500
Pa: 0.000 0.500 0.435
S: 0.000 0.500 0.097
S: 0.000 0.500 0.632
S: 0.500 0.000 0.903
Te: 0.500 0.000 0.133
S: 0.500 0.000 0.368
Pa: 0.500 0.000 0.565
Te: 0.000 0.500 0.867


VASP calculation (PBE) on ThPaS2N after structural relaxation.

Values from the calculation:
The calculation puts the formation energy without anion corrections at -1772 meV/atom. The value obtained for the calculated total energy is -84.71 eV per cell.

Unit cell a=3.947 b=3.947 c=13.682 alpha=90.00 beta=90.00 gamma=90.00
Element x y z (fractional)
N: 0.000 0.000 0.500
S: 0.000 0.500 0.106
S: 0.500 0.000 0.293
Pa: 0.500 0.000 0.104
Th: 0.500 0.000 0.589
N: 0.500 0.500 0.500
Th: 0.000 0.500 0.411
S: 0.500 0.000 0.894
S: 0.000 0.500 0.707
Pa: 0.000 0.500 0.896


VASP calculation (PBE) on ThPaSN2 after structural relaxation.

Values from the calculation:
The calculation puts the formation energy without anion corrections at -1763 meV/atom. The value obtained for the calculated total energy is -46.51 eV per cell.

Unit cell a=3.886 b=3.886 c=6.705 alpha=106.85 beta=106.85 gamma=90.00
Element x y z (fractional)
Pa: 0.153 0.153 0.306
N: 0.746 0.246 0.492
S: 0.501 0.501 0.002
Th: 0.854 0.854 0.707
N: 0.246 0.746 0.492